Record 1
{"formula": "V2GeRu4", "functional": "PBE", "state": "optimized geometry", "lattice": [[2.090, 1.207, 6.767], [-2.090, 1.207, 6.767], [0.000, -2.414, 6.767]], "species": ["V", "V", "Ge", "Ru", "Ru", "Ru", "Ru"], "frac_coords": [[0.248, 0.248, 0.248], [0.752, 0.752, 0.752], [0.000, 0.000, 0.000], [0.129, 0.129, 0.129], [0.378, 0.378, 0.378], [0.622, 0.622, 0.622], [0.871, 0.871, 0.871]], "dos_ef_per_ev_fu": 7.51, "formation_enthalpy_0k_ev_per_atom": -0.084, "dft_energy_ev_per_atom": -8.649}

Record 2
{"formula": "Cu3PdO4", "functional": "PBE", "state": "optimized geometry", "lattice": [[6.317, 0.000, 0.000], [0.000, 5.379, 0.000], [0.000, 0.000, 5.662]], "species": ["Cu", "Cu", "Cu", "Cu", "Cu", "Cu", "Pd", "Pd", "O", "O", "O", "O", "O", "O", "O", "O"], "frac_coords": [[0.000, 0.171, 0.000], [0.242, 0.340, 0.499], [0.258, 0.660, 0.999], [0.500, 0.829, 0.500], [0.742, 0.660, 0.999], [0.758, 0.340, 0.499], [0.000, 0.825, 0.512], [0.500, 0.175, 0.012], [0.000, 0.173, 0.339], [0.000, 0.826, 0.877], [0.238, 0.334, 0.837], [0.262, 0.666, 0.337], [0.500, 0.174, 0.377], [0.500, 0.827, 0.839], [0.738, 0.666, 0.337], [0.762, 0.334, 0.837]], "dos_ef_per_ev_fu": 8.71, "dft_energy_ev_per_atom": -4.943, "raw_formation_energy_ev_per_atom": -0.278}

Record 3
{"formula": "KSiSb", "functional": "PBE", "state": "optimized geometry", "lattice": [[4.098, 0.000, 0.000], [-2.049, 3.549, 0.000], [0.000, 0.000, 6.535]], "species": ["K", "Si", "Sb"], "frac_coords": [[0.000, 0.000, 0.000], [0.333, 0.667, 0.626], [0.667, 0.333, 0.430]], "dft_energy_ev_per_atom": -3.672, "raw_formation_energy_ev_per_atom": -0.124}

Record 4
{"formula": "AcEr5Tm", "functional": "PBE", "state": "optimized geometry", "lattice": [[5.513, -6.507, 0.000], [5.513, 6.507, 0.000], [-2.315, 0.000, 6.592]], "species": ["Ac", "Ac", "Er", "Er", "Er", "Er", "Er", "Er", "Er", "Er", "Er", "Er", "Tm", "Tm"], "frac_coords": [[0.156, 0.844, 0.750], [0.844, 0.156, 0.250], [0.111, 0.889, 0.250], [0.238, 0.276, 0.639], [0.276, 0.238, 0.139], [0.349, 0.604, 0.467], [0.396, 0.651, 0.033], [0.604, 0.349, 0.967], [0.651, 0.396, 0.533], [0.724, 0.762, 0.861], [0.762, 0.724, 0.361], [0.889, 0.111, 0.750], [0.000, 0.500, 0.000], [0.500, 0.000, 0.500]], "dos_ef_per_ev_fu": 10.22, "formation_enthalpy_0k_ev_per_atom": 0.210, "dft_energy_ev_per_atom": -4.275}

Record 5
{"formula": "Ce2PmY", "functional": "PBE", "state": "optimized geometry", "lattice": [[3.516, 0.000, 0.000], [-1.758, 3.045, 0.000], [0.000, 0.000, 34.964]], "species": ["Ce", "Ce", "Ce", "Ce", "Ce", "Ce", "Pm", "Pm", "Pm", "Y", "Y", "Y"], "frac_coords": [[0.000, 0.000, 0.249], [0.000, 0.000, 0.751], [0.333, 0.667, 0.417], [0.333, 0.667, 0.916], [0.667, 0.333, 0.084], [0.667, 0.333, 0.583], [0.000, 0.000, 0.000], [0.333, 0.667, 0.667], [0.667, 0.333, 0.333], [0.000, 0.000, 0.500], [0.333, 0.667, 0.167], [0.667, 0.333, 0.833]], "dos_ef_per_ev_fu": 10.77, "formation_enthalpy_0k_ev_per_atom": 0.105, "dft_energy_ev_per_atom": -5.666}

Record 6
{"formula": "Nd7ErAl4", "functional": "PBE", "state": "optimized geometry", "lattice": [[7.065, -2.831, 0.000], [7.065, 2.831, 0.000], [-6.040, 0.000, 8.850]], "species": ["Nd", "Nd", "Nd", "Nd", "Nd", "Nd", "Nd", "Er", "Al", "Al", "Al", "Al"], "frac_coords": [[0.000, 0.000, 0.000], [0.206, 0.206, 0.649], [0.294, 0.294, 0.119], [0.434, 0.434, 0.614], [0.566, 0.566, 0.386], [0.706, 0.706, 0.881], [0.794, 0.794, 0.351], [0.500, 0.500, 0.000], [0.052, 0.052, 0.760], [0.174, 0.174, 0.331], [0.826, 0.826, 0.669], [0.948, 0.948, 0.240]], "dos_ef_per_ev_fu": 12.83, "formation_enthalpy_0k_ev_per_atom": -0.065, "dft_energy_ev_per_atom": -4.474}

Record 7
{"formula": "LaTaSb2", "functional": "PBE", "state": "optimized geometry", "lattice": [[3.534, 0.000, 0.000], [0.000, 3.549, 0.000], [0.000, 0.000, 7.807]], "species": ["La", "Ta", "Sb", "Sb"], "frac_coords": [[0.000, 0.000, 0.000], [0.000, 0.000, 0.500], [0.500, 0.500, 0.293], [0.500, 0.500, 0.707]], "dos_ef_per_ev_fu": 3.65, "dft_energy_ev_per_atom": -6.596, "raw_formation_energy_ev_per_atom": -0.340}

Record 8
{"formula": "Pu2MgHg4", "functional": "PBE", "state": "optimized geometry", "lattice": [[5.267, 0.000, 0.000], [0.000, 5.267, 0.000], [0.000, 0.000, 15.691]], "species": ["Pu", "Pu", "Pu", "Pu", "Mg", "Mg", "Hg", "Hg", "Hg", "Hg", "Hg", "Hg", "Hg", "Hg"], "frac_coords": [[0.000, 0.000, 0.116], [0.000, 0.000, 0.884], [0.500, 0.500, 0.384], [0.500, 0.500, 0.616], [0.000, 0.000, 0.500], [0.500, 0.500, 0.000], [0.000, 0.000, 0.317], [0.000, 0.000, 0.683], [0.000, 0.500, 0.000], [0.000, 0.500, 0.500], [0.500, 0.000, 0.000], [0.500, 0.000, 0.500], [0.500, 0.500, 0.183], [0.500, 0.500, 0.817]], "dos_ef_per_ev_fu": 32.70, "formation_enthalpy_0k_ev_per_atom": 0.155, "dft_energy_ev_per_atom": -4.340}